1.
GGA-PBE RbIn4Hg4, optimized geometry; space-group type = I4/m; uncorrected energy = -1.495 eV per atom; spin magnetization = 0.000 μB/atom; ΔH_f (0 K) = -0.327 eV per formula unit; V = 263.87 Å³ per cell
1.0
-1.7602 -3.6277 1.4357
2.8672 -5.8475 -4.8802
5.2176 -2.8591 5.5528
Rb In Hg
1 4 4
Cartesian
0.0000 0.0000 0.0000
3.6580 -4.8310 -1.3420
2.6667 -7.5033 3.4502
1.5797 -5.3480 1.1835
4.7450 -6.9863 0.9248
5.6684 -6.1108 4.2690
0.6563 -6.2234 -2.1608
5.0260 -10.1437 -0.3289
1.2987 -2.1906 2.4372

=====

2.
GGA-PBE Ca2FeHg, optimized geometry; space-group type = Amm2; uncorrected energy = -3.130 eV per atom; spin magnetization = 0.534 μB/atom; ΔH_f (0 K) = 0.249 eV per formula unit; V = 107.44 Å³ per cell
1.0
-4.3195 -1.5210 0.0713
1.2634 -3.6586 -1.5046
1.3893 -3.7340 4.5118
Ca Hg Fe
2 1 1
Cartesian
2.5107 -7.0053 2.6632
-1.3580 -2.9872 1.1073
-0.4066 -5.6202 2.5734
1.5662 -4.3896 1.2455

=====

3.
GGA-PBE In2AsPd2, optimized geometry; energy relative to the lowest polymorph listed for this composition = 0.000 eV/atom; space-group type = P4/mbm; uncorrected energy = -4.369 eV per atom; spin magnetization = 0.000 μB/atom; ΔH_f (0 K) = -1.334 eV per formula unit; V = 191.44 Å³ per cell
1.0
-0.1008 2.3790 7.4124
-7.4866 -2.0617 0.5599
0.8657 -2.8886 0.9389
As Pd In
2 4 4
Cartesian
0.0000 0.0000 0.0000
-3.7937 0.1587 3.9861
-6.5012 -0.9155 3.1777
-4.8524 0.7420 6.7569
-1.0862 1.2328 4.7945
-2.7350 -0.4246 1.2154
-4.5396 -2.4237 2.0408
-5.9077 -1.5971 5.8456
-2.1821 -0.1475 6.8703
-0.8140 -0.9742 3.0656

=====

4.
GGA-PBE Dy4Tl2Sb, optimized geometry; space-group type = P2_1/m; uncorrected energy = -4.303 eV per atom; spin magnetization = 0.000 μB/atom; V = 397.62 Å³ per cell; raw formation energy = -0.4083 eV/atom
1.0
-1.4457 1.2581 5.4325
-2.8531 -5.8769 0.6018
9.8370 -4.7151 0.5901
Dy Tl Sb
8 4 2
Cartesian
0.2375 -3.4431 3.8878
5.0370 -7.3182 6.0528
0.5013 -2.0157 0.5716
-1.1391 -6.2787 4.1782
3.6316 -3.1121 4.7052
6.6774 -3.0553 2.4462
5.3008 -5.8908 2.7366
1.9067 -6.2218 1.9191
6.9480 -8.4799 3.7682
-1.4097 -0.8540 2.8562
3.2606 -3.2514 1.5865
2.2777 -6.0826 5.0378
-0.6443 -5.0785 0.9903
6.1826 -4.2554 5.6341